Record 1
Density functional theory data (PBE) for a relaxed Rb2MnIr crystal.

Properties
Energy of formation   0.861 eV per atom
Spin magnetization   8.30 Bohr magnetons per cell
DFT total energy   -0.1518 hartree per atom
Energy above the lowest structure with this stoichiometry   0 meV/atom

a b c (Å): 9.544 9.544 9.544
angles (deg): 93.22 93.22 152.56
Positions (direct):
Rb (0.375, 0.173, 0.298)
Rb (0.827, 0.125, 0.202)
Rb (0.875, 0.077, 0.702)
Rb (0.923, 0.625, 0.798)
Mn (0.000, 0.000, 0.000)
Mn (0.750, 0.250, 0.500)
Ir (0.250, 0.750, 0.500)
Ir (0.500, 0.500, 0.000)


Record 2
Density functional theory data (PBE) for a relaxed RbMn2Ir crystal.

Properties
Energy of formation   1.429 eV per atom
Spin magnetization   0.72 Bohr magnetons per cell
DFT total energy   -0.2063 hartree per atom
Energy above the lowest structure with this stoichiometry   0 meV/atom

a b c (Å): 8.797 8.797 8.797
angles (deg): 147.91 147.91 46.02
Positions (direct):
Rb (0.375, 0.625, 0.750)
Rb (0.625, 0.375, 0.250)
Mn (0.000, 0.000, 0.000)
Mn (0.000, 0.000, 0.500)
Mn (0.000, 0.500, 0.000)
Mn (0.500, 0.000, 0.500)
Ir (0.125, 0.875, 0.250)
Ir (0.875, 0.125, 0.750)